Here is an optimized crystal structure of CuSbOs2 from Alexandria. Energies are from PBE.

- energy relative to the elements, uncorrected (meV/atom) = 974
- space group = Cmmm, No. 65
- VASP energy (eV per atom) = -6.70
- magnetization (μB per cell) = 0.0
- density (g cm⁻³) = 14.34

Cell lengths 2.819, 2.819, 9.460 Å; angles 90.00, 90.00, 119.40 degrees
Positions (direct):
Cu  0.500  0.500  0.750
Sb  0.500  0.500  0.250
Os  0.000  0.000  0.977
Os  0.000  0.000  0.523